# 1
The following is a PBE calculation of FeBS3 after structural relaxation, from the Alexandria database.

Geometry as CIF:
```
data_FeBS3
_chemical_formula_sum 'Fe1 B1 S3'
_space_group_name_H-M_alt 'P m -3 m'
_space_group_IT_number 221
_space_group_name_Hall '-P 4 2 3'
_cell_length_a 4.048
_cell_length_b 4.048
_cell_length_c 4.048
_cell_angle_alpha 90.00
_cell_angle_beta 90.00
_cell_angle_gamma 90.00
loop_
_atom_site_label
_atom_site_fract_x
_atom_site_fract_y
_atom_site_fract_z
Fe1 0.000 0.000 0.000
B1 0.500 0.500 0.500
S1 0.000 0.500 0.500
```

Calculated values
Raw formation energy: 1.02 eV per atom



# 2
The following is a PBE calculation of Fe2BS after structural relaxation, from the Alexandria database.

Geometry as CIF:
```
data_Fe2BS
_chemical_formula_sum 'Fe4 B2 S2'
_space_group_name_H-M_alt 'P 1 m 1'
_space_group_IT_number 6
_cell_length_a 5.103
_cell_length_b 2.821
_cell_length_c 5.784
_cell_angle_alpha 90.00
_cell_angle_beta 98.39
_cell_angle_gamma 90.00
loop_
_space_group_symop_operation_xyz
'x,y,z'
'x,-y,z'
loop_
_atom_site_label
_atom_site_fract_x
_atom_site_fract_y
_atom_site_fract_z
Fe1 0.000 0.000 0.000
Fe2 0.003 0.000 0.555
Fe3 0.415 0.500 0.111
Fe4 0.526 0.000 0.736
B1 0.200 0.500 0.789
B2 0.824 0.500 0.747
S1 0.364 0.000 0.378
S2 0.830 0.500 0.244
```

Calculated values
Raw formation energy: -0.15 eV per atom



# 3
The following is a PBE calculation of Fe2BS after structural relaxation, from the Alexandria database.

Geometry as CIF:
```
data_Fe2BS
_chemical_formula_sum 'Fe8 B4 S4'
_space_group_name_H-M_alt 'C 1 m 1'
_space_group_IT_number 8
_cell_length_a 11.901
_cell_length_b 2.977
_cell_length_c 5.357
_cell_angle_alpha 90.00
_cell_angle_beta 116.16
_cell_angle_gamma 90.00
loop_
_space_group_symop_operation_xyz
'x,y,z'
'x,-y,z'
'x+1/2,y+1/2,z'
'x+1/2,-y+1/2,z'
loop_
_atom_site_label
_atom_site_fract_x
_atom_site_fract_y
_atom_site_fract_z
Fe1 0.000 0.000 0.000
Fe2 0.045 0.500 0.419
Fe3 0.268 0.500 0.821
Fe4 0.372 0.000 0.556
B1 0.368 0.000 0.093
B2 0.388 0.500 0.266
S1 0.085 0.500 0.847
S2 0.176 0.000 0.414
```

Calculated values
Raw formation energy: -0.20 eV per atom



# 4
The following is a PBE calculation of Fe2BS after structural relaxation, from the Alexandria database.

Geometry as CIF:
```
data_Fe2BS
_chemical_formula_sum 'Fe8 B4 S4'
_space_group_name_H-M_alt 'I m m 2'
_space_group_IT_number 44
_cell_length_a 2.756
_cell_length_b 5.390
_cell_length_c 11.172
_cell_angle_alpha 90.00
_cell_angle_beta 90.00
_cell_angle_gamma 90.00
loop_
_space_group_symop_operation_xyz
'x,y,z'
'-x,-y,z'
'-x,y,z'
'x,-y,z'
'x+1/2,y+1/2,z+1/2'
'-x+1/2,-y+1/2,z+1/2'
'-x+1/2,y+1/2,z+1/2'
'x+1/2,-y+1/2,z+1/2'
loop_
_atom_site_label
_atom_site_fract_x
_atom_site_fract_y
_atom_site_fract_z
Fe1 0.000 0.000 0.000
Fe2 0.000 0.247 0.202
Fe3 0.000 0.500 0.999
B1 0.000 0.231 0.564
S1 0.000 0.500 0.348
S2 0.000 0.500 0.802
```

Calculated values
Raw formation energy: -0.18 eV per atom



# 5
The following is a PBE calculation of Fe2BS after structural relaxation, from the Alexandria database.

Geometry as CIF:
```
data_Fe2BS
_chemical_formula_sum 'Fe6 B3 S3'
_space_group_name_H-M_alt 'R 3 m'
_space_group_IT_number 160
_space_group_name_Hall 'R 3 -2"'
_cell_length_a 3.0645
_cell_length_b 3.0645
_cell_length_c 16.6427
_cell_angle_alpha 90.00
_cell_angle_beta 90.00
_cell_angle_gamma 120.00
loop_
_atom_site_label
_atom_site_fract_x
_atom_site_fract_y
_atom_site_fract_z
Fe1 0.0000 0.0000 0.0000
Fe2 0.0000 0.0000 0.4545
B1 0.0000 0.0000 0.7341
S1 0.0000 0.0000 0.5879
```

Calculated values
Raw formation energy: -0.11 eV per atom



# 6
The following is a PBE calculation of Fe2BS after structural relaxation, from the Alexandria database.

Geometry as CIF:
```
data_Fe2BS
_chemical_formula_sum 'Fe8 B4 S4'
_space_group_name_H-M_alt 'A m m 2'
_space_group_IT_number 38
_cell_length_a 5.384
_cell_length_b 2.754
_cell_length_c 11.190
_cell_angle_alpha 90.00
_cell_angle_beta 90.00
_cell_angle_gamma 90.00
loop_
_space_group_symop_operation_xyz
'x,y,z'
'-x,-y,z'
'-x,y,z'
'x,-y,z'
'x,y+1/2,z+1/2'
'-x,-y+1/2,z+1/2'
'-x,y+1/2,z+1/2'
'x,-y+1/2,z+1/2'
loop_
_atom_site_label
_atom_site_fract_x
_atom_site_fract_y
_atom_site_fract_z
Fe1 0.000 0.000 0.000
Fe2 0.248 0.000 0.796
Fe3 0.500 0.000 0.997
B1 0.228 0.000 0.433
S1 0.000 0.000 0.197
S2 0.500 0.000 0.648
```

Calculated values
Raw formation energy: -0.18 eV per atom



# 7
The following is a PBE calculation of Fe2BS after structural relaxation, from the Alexandria database.

Geometry as CIF:
```
data_Fe2BS
_chemical_formula_sum 'Fe8 B4 S4'
_space_group_name_H-M_alt 'C 1 m 1'
_space_group_IT_number 8
_cell_length_a 9.687
_cell_length_b 2.944
_cell_length_c 6.916
_cell_angle_alpha 90.00
_cell_angle_beta 120.38
_cell_angle_gamma 90.00
loop_
_space_group_symop_operation_xyz
'x,y,z'
'x,-y,z'
'x+1/2,y+1/2,z'
'x+1/2,-y+1/2,z'
loop_
_atom_site_label
_atom_site_fract_x
_atom_site_fract_y
_atom_site_fract_z
Fe1 0.000 0.000 0.000
Fe2 0.059 0.000 0.421
Fe3 0.244 0.500 0.042
Fe4 0.306 0.000 0.373
B1 0.129 0.500 0.255
B2 0.429 0.000 0.193
S1 0.272 0.000 0.817
S2 0.445 0.500 0.633
```

Calculated values
Raw formation energy: -0.15 eV per atom



# 8
The following is a PBE calculation of Fe2BS after structural relaxation, from the Alexandria database.

Geometry as CIF:
```
data_Fe2BS
_chemical_formula_sum 'Fe8 B4 S4'
_space_group_name_H-M_alt 'I m m 2'
_space_group_IT_number 44
_cell_length_a 2.934
_cell_length_b 10.104
_cell_length_c 5.867
_cell_angle_alpha 90.00
_cell_angle_beta 90.00
_cell_angle_gamma 90.00
loop_
_space_group_symop_operation_xyz
'x,y,z'
'-x,-y,z'
'-x,y,z'
'x,-y,z'
'x+1/2,y+1/2,z+1/2'
'-x+1/2,-y+1/2,z+1/2'
'-x+1/2,y+1/2,z+1/2'
'x+1/2,-y+1/2,z+1/2'
loop_
_atom_site_label
_atom_site_fract_x
_atom_site_fract_y
_atom_site_fract_z
Fe1 0.000 0.133 0.000
Fe2 0.000 0.366 0.131
B1 0.000 0.000 0.731
B2 0.000 0.500 0.411
S1 0.000 0.187 0.363
```

Calculated values
Raw formation energy: -0.21 eV per atom



# 9
The following is a PBE calculation of FeBS2 after structural relaxation, from the Alexandria database.

Geometry as CIF:
```
data_FeBS2
_chemical_formula_sum 'Fe3 B3 S6'
_space_group_name_H-M_alt 'R -3 m'
_space_group_IT_number 166
_space_group_name_Hall '-R 3 2"'
_cell_length_a 3.0543
_cell_length_b 3.0543
_cell_length_c 20.2443
_cell_angle_alpha 90.00
_cell_angle_beta 90.00
_cell_angle_gamma 120.00
loop_
_atom_site_label
_atom_site_fract_x
_atom_site_fract_y
_atom_site_fract_z
Fe1 0.0000 0.0000 0.0000
B1 0.0000 0.0000 0.5000
S1 0.0000 0.0000 0.1083
```

Calculated values
Raw formation energy: 0.39 eV per atom



# 10
The following is a PBE calculation of FeBS2 after structural relaxation, from the Alexandria database.

Geometry as CIF:
```
data_FeBS2
_chemical_formula_sum 'Fe3 B3 S6'
_space_group_name_H-M_alt 'R -3 m'
_space_group_IT_number 166
_space_group_name_Hall '-R 3 2"'
_cell_length_a 3.6343
_cell_length_b 3.6343
_cell_length_c 17.8811
_cell_angle_alpha 90.00
_cell_angle_beta 90.00
_cell_angle_gamma 120.00
loop_
_atom_site_label
_atom_site_fract_x
_atom_site_fract_y
_atom_site_fract_z
Fe1 0.0000 0.0000 0.0000
B1 0.0000 0.0000 0.5000
S1 0.0000 0.0000 0.4049
```

Calculated values
Raw formation energy: 0.16 eV per atom



# 11
The following is a PBE calculation of Fe2BS after structural relaxation, from the Alexandria database.

Geometry as CIF:
```
data_Fe2BS
_chemical_formula_sum 'Fe4 B2 S2'
_space_group_name_H-M_alt 'I -4 m 2'
_space_group_IT_number 119
_space_group_name_Hall 'I -4 -2'
_cell_length_a 2.621
_cell_length_b 2.621
_cell_length_c 11.579
_cell_angle_alpha 90.00
_cell_angle_beta 90.00
_cell_angle_gamma 90.00
loop_
_atom_site_label
_atom_site_fract_x
_atom_site_fract_y
_atom_site_fract_z
Fe1 0.000 0.000 0.103
B1 0.000 0.000 0.500
S1 0.000 0.500 0.250
```

Calculated values
Raw formation energy: -0.07 eV per atom



# 12
The following is a PBE calculation of Fe2BS after structural relaxation, from the Alexandria database.

Geometry as CIF:
```
data_Fe2BS
_chemical_formula_sum 'Fe8 B4 S4'
_space_group_name_H-M_alt 'C 1 m 1'
_space_group_IT_number 8
_cell_length_a 10.172
_cell_length_b 2.749
_cell_length_c 6.669
_cell_angle_alpha 90.00
_cell_angle_beta 118.25
_cell_angle_gamma 90.00
loop_
_space_group_symop_operation_xyz
'x,y,z'
'x,-y,z'
'x+1/2,y+1/2,z'
'x+1/2,-y+1/2,z'
loop_
_atom_site_label
_atom_site_fract_x
_atom_site_fract_y
_atom_site_fract_z
Fe1 0.000 0.000 0.000
Fe2 0.097 0.000 0.691
Fe3 0.207 0.000 0.415
Fe4 0.306 0.000 0.106
B1 0.038 0.500 0.264
B2 0.126 0.500 0.924
S1 0.325 0.000 0.776
S2 0.371 0.500 0.397
```

Calculated values
Raw formation energy: -0.08 eV per atom



Copy entry 4 word for word.
The following is a PBE calculation of Fe2BS after structural relaxation, from the Alexandria database.

Geometry as CIF:
```
data_Fe2BS
_chemical_formula_sum 'Fe8 B4 S4'
_space_group_name_H-M_alt 'I m m 2'
_space_group_IT_number 44
_cell_length_a 2.756
_cell_length_b 5.390
_cell_length_c 11.172
_cell_angle_alpha 90.00
_cell_angle_beta 90.00
_cell_angle_gamma 90.00
loop_
_space_group_symop_operation_xyz
'x,y,z'
'-x,-y,z'
'-x,y,z'
'x,-y,z'
'x+1/2,y+1/2,z+1/2'
'-x+1/2,-y+1/2,z+1/2'
'-x+1/2,y+1/2,z+1/2'
'x+1/2,-y+1/2,z+1/2'
loop_
_atom_site_label
_atom_site_fract_x
_atom_site_fract_y
_atom_site_fract_z
Fe1 0.000 0.000 0.000
Fe2 0.000 0.247 0.202
Fe3 0.000 0.500 0.999
B1 0.000 0.231 0.564
S1 0.000 0.500 0.348
S2 0.000 0.500 0.802
```

Calculated values
Raw formation energy: -0.18 eV per atom



Repeat the sixth record exactly.
The following is a PBE calculation of Fe2BS after structural relaxation, from the Alexandria database.

Geometry as CIF:
```
data_Fe2BS
_chemical_formula_sum 'Fe8 B4 S4'
_space_group_name_H-M_alt 'A m m 2'
_space_group_IT_number 38
_cell_length_a 5.384
_cell_length_b 2.754
_cell_length_c 11.190
_cell_angle_alpha 90.00
_cell_angle_beta 90.00
_cell_angle_gamma 90.00
loop_
_space_group_symop_operation_xyz
'x,y,z'
'-x,-y,z'
'-x,y,z'
'x,-y,z'
'x,y+1/2,z+1/2'
'-x,-y+1/2,z+1/2'
'-x,y+1/2,z+1/2'
'x,-y+1/2,z+1/2'
loop_
_atom_site_label
_atom_site_fract_x
_atom_site_fract_y
_atom_site_fract_z
Fe1 0.000 0.000 0.000
Fe2 0.248 0.000 0.796
Fe3 0.500 0.000 0.997
B1 0.228 0.000 0.433
S1 0.000 0.000 0.197
S2 0.500 0.000 0.648
```

Calculated values
Raw formation energy: -0.18 eV per atom



Question: Among the records above, which one has the lowest raw formation energy?
Answer: number 8



Question: raw formation energy of number 2 (Fe2BS)?
Answer: -0.15 eV per atom